[1]
# Ti2Tc2Mo

A relaxed structure of Ti2Tc2Mo (GGA-PBE, Alexandria via LeMat-Bulk).

Cell and atoms, written as POSCAR:
```
Ti2Tc2Mo
1.0
-0.343 -3.090 -0.032
2.054 -0.269 3.963
-9.498 2.543 5.096
Tc Mo Ti
4 2 4
direct
0.551 0.250 0.103
0.350 0.250 0.699
0.449 0.750 0.897
0.650 0.750 0.301
0.148 0.250 0.296
0.852 0.750 0.704
0.049 0.750 0.098
0.247 0.750 0.493
0.951 0.250 0.902
0.753 0.250 0.507
```

Properties
DOS(E_F) = 7.464 states/eV per cell
crystal system = monoclinic
energy relative to the lowest polymorph listed for this composition = 0.000 eV per atom
calculated total energy = -98.2 eV for the cell shown
formation energy from the elements = -0.353 eV per atom



[2]
# TiTc4Mo3

A relaxed structure of TiTc4Mo3 (GGA-PBE, Alexandria via LeMat-Bulk).

Cell and atoms, written as POSCAR:
```
TiTc4Mo3
1.0
-1.877 -2.350 0.801
2.518 -0.807 3.536
-4.930 5.568 4.781
Mo Ti Tc
3 1 4
direct
0.500 0.500 0.500
0.500 0.000 0.751
0.500 0.000 0.249
0.500 0.500 0.000
0.000 0.500 0.249
0.000 0.000 0.000
0.000 0.000 0.500
0.000 0.500 0.751
```

Properties
DOS(E_F) = 6.111 states/eV per cell
crystal system = orthorhombic
calculated total energy = -82.9 eV for the cell shown
formation energy from the elements = -0.128 eV per atom



[3]
# Ti3Tc3Mo

A relaxed structure of Ti3Tc3Mo (GGA-PBE, Alexandria via LeMat-Bulk).

Cell and atoms, written as POSCAR:
```
Ti3Tc3Mo
1.0
-1.823 -5.790 -0.478
5.265 -1.372 -2.733
2.473 -1.222 5.380
Tc Ti Mo
6 6 2
direct
0.756 0.244 0.000
0.243 0.243 0.500
0.293 0.707 0.500
0.244 0.756 0.000
0.757 0.757 0.500
0.707 0.293 0.500
0.000 0.500 0.746
0.500 0.000 0.746
0.000 0.000 0.746
0.500 0.000 0.254
0.000 0.500 0.254
0.000 0.000 0.254
0.309 0.309 0.000
0.691 0.691 0.000
```

Properties
DOS(E_F) = 15.284 states/eV per cell
crystal system = orthorhombic
calculated total energy = -130.5 eV for the cell shown
formation energy from the elements = 0.051 eV per atom



Magnetic moment / μB/cell: 0.0 0.0 0.0